Compound: POsNF2
Source: the Alexandria database
Functional: PBE
Structure: relaxed

## Properties
- V: 68.7 Å³/f.u.
- Total DFT energy (no corrections): -5.41 eV per atom
- Symmetry: P4/mmm
- Formation energy without anion corrections: 333 meV/atom

abc: 4.2680 4.2680 3.7723
angles: 90.00 90.00 90.00
Fractional coordinates of all 5 atoms:
P  0.0000  0.0000  0.0000
Os  0.5000  0.5000  0.5000
N  0.5000  0.5000  0.0000
F  0.0000  0.5000  0.5000
F  0.5000  0.0000  0.5000

=====

Compound: LiTbPm2Se4
Source: the Alexandria database
Functional: PBE
Structure: relaxed

## Properties
- V: 198.0 Å³/f.u.
- Total DFT energy (no corrections): -5.51 eV per atom
- Symmetry: P2/m
- Formation energy without anion corrections: -1765 meV/atom

abc: 7.1275 4.1191 7.1477
angles: 90.00 109.35 90.00
Fractional coordinates of all 8 atoms:
Li  0.0000  0.0000  0.0000
Tb  0.5000  0.5000  0.0000
Pm  0.0000  0.5000  0.5000
Pm  0.5000  0.0000  0.5000
Se  0.2416  0.5000  0.2360
Se  0.2481  0.0000  0.7631
Se  0.7519  0.0000  0.2369
Se  0.7584  0.5000  0.7640

=====

Compound: TmCo4P2
Source: the Alexandria database
Functional: PBE
Structure: relaxed

## Properties
- V: 86.9 Å³/f.u.
- Total DFT energy (no corrections): -7.01 eV per atom
- Symmetry: P4_2/mnm
- Energy relative to the elements: -0.77 eV/atom

abc: 7.0271 7.0271 3.5180
angles: 90.00 90.00 90.00
Fractional coordinates of all 14 atoms:
Tm  0.0000  0.0000  0.0000
Tm  0.5000  0.5000  0.5000
Co  0.0794  0.3369  0.5000
Co  0.1631  0.5794  0.0000
Co  0.3369  0.0794  0.5000
Co  0.4206  0.8369  0.0000
Co  0.5794  0.1631  0.0000
Co  0.6631  0.9206  0.5000
Co  0.8369  0.4206  0.0000
Co  0.9206  0.6631  0.5000
P  0.2248  0.7752  0.5000
P  0.2752  0.2752  0.0000
P  0.7248  0.7248  0.0000
P  0.7752  0.2248  0.5000

=====

Compound: NaYMgHg
Source: the Alexandria database
Functional: PBE
Structure: relaxed

## Properties
- V: 95.1 Å³/f.u.
- Total DFT energy (no corrections): -2.59 eV per atom
- Symmetry: F-43m
- Energy relative to the elements: -0.17 eV/atom

abc: 5.1243 5.1243 5.1243
angles: 60.00 60.00 60.00
Fractional coordinates of all 4 atoms:
Na  0.0000  0.0000  0.0000
Y  0.7500  0.7500  0.7500
Mg  0.2500  0.2500  0.2500
Hg  0.5000  0.5000  0.5000

=====

Compound: Sc4CSe2S
Source: the Alexandria database
Functional: PBE
Structure: relaxed

## Properties
- V: 143.0 Å³/f.u.
- Total DFT energy (no corrections): -7.20 eV per atom
- Symmetry: P2/m
- Formation energy without anion corrections: -1493 meV/atom

abc: 6.3768 3.6254 6.5299
angles: 90.00 108.66 90.00
Fractional coordinates of all 8 atoms:
Sc  0.2110  0.0000  0.2039
Sc  0.2315  0.5000  0.7893
Sc  0.7685  0.5000  0.2107
Sc  0.7890  0.0000  0.7961
C  0.0000  0.5000  0.0000
Se  0.0000  0.0000  0.5000
Se  0.5000  0.5000  0.5000
S  0.5000  0.0000  0.0000

=====

Compound: ScNb2Pd8
Source: the Alexandria database
Functional: PBE
Structure: relaxed

## Properties
- V: 177.8 Å³/f.u.
- Total DFT energy (no corrections): -6.68 eV per atom
- Symmetry: C2/m
- Energy relative to the elements: -0.50 eV/atom

abc: 7.4207 7.4207 6.5101
angles: 107.13 107.13 31.41
Fractional coordinates of all 11 atoms:
Sc  0.0000  0.0000  0.0000
Nb  0.2781  0.2781  0.3410
Nb  0.7219  0.7219  0.6590
Pd  0.1006  0.1006  0.4561
Pd  0.1814  0.1814  0.9110
Pd  0.3573  0.3573  0.8065
Pd  0.4569  0.4569  0.2738
Pd  0.5431  0.5431  0.7262
Pd  0.6427  0.6427  0.1935
Pd  0.8186  0.8186  0.0890
Pd  0.8994  0.8994  0.5439

=====

Compound: AlTcTe
Source: the Alexandria database
Functional: PBE
Structure: relaxed

## Properties
- V: 57.2 Å³/f.u.
- Total DFT energy (no corrections): -5.71 eV per atom
- Symmetry: P3m1
- Formation energy without anion corrections: 42 meV/atom

abc: 3.2917 3.2917 6.0936
angles: 90.00 90.00 120.00
Fractional coordinates of all 3 atoms:
Al  0.0000  0.0000  0.0000
Tc  0.3333  0.6667  0.2928
Te  0.6667  0.3333  0.6003

=====

Compound: CsCdI2O
Source: the Alexandria database
Functional: PBE
Structure: relaxed

## Properties
- V: 176.4 Å³/f.u.
- Total DFT energy (no corrections): -2.66 eV per atom
- Symmetry: P4/mmm
- Formation energy without anion corrections: -692 meV/atom

abc: 6.4087 6.4087 4.2953
angles: 90.00 90.00 90.00
Fractional coordinates of all 5 atoms:
Cs  0.0000  0.0000  0.0000
Cd  0.5000  0.5000  0.5000
I  0.0000  0.5000  0.5000
I  0.5000  0.0000  0.5000
O  0.5000  0.5000  0.0000

=====

Compound: Mg8Zn2Hg
Source: the Alexandria database
Functional: PBE
Structure: relaxed

## Properties
- V: 230.5 Å³/f.u.
- Total DFT energy (no corrections): -1.49 eV per atom
- Symmetry: C2/m
- Energy relative to the elements: -0.07 eV/atom

abc: 8.2243 8.2243 6.9004
angles: 111.83 111.83 32.39
Fractional coordinates of all 11 atoms:
Mg  0.0271  0.0271  0.2590
Mg  0.1840  0.1840  0.7656
Mg  0.3276  0.3276  0.5661
Mg  0.3989  0.3989  0.0417
Mg  0.6011  0.6011  0.9583
Mg  0.6724  0.6724  0.4339
Mg  0.8160  0.8160  0.2344
Mg  0.9729  0.9729  0.7410
Zn  0.1878  0.1878  0.1750
Zn  0.8122  0.8122  0.8250
Hg  0.5000  0.5000  0.5000

=====

Compound: In2NiCl
Source: the Alexandria database
Functional: PBE
Structure: relaxed

## Properties
- V: 87.8 Å³/f.u.
- Total DFT energy (no corrections): -2.98 eV per atom
- Symmetry: F-43m
- Formation energy without anion corrections: 291 meV/atom

abc: 4.9892 4.9892 4.9892
angles: 60.00 60.00 60.00
Fractional coordinates of all 4 atoms:
In  0.0000  0.0000  0.0000
In  0.2500  0.2500  0.2500
Ni  0.7500  0.7500  0.7500
Cl  0.5000  0.5000  0.5000

=====

Compound: Ta4Ti2V
Source: the Alexandria database
Functional: PBE
Structure: relaxed

## Properties
- V: 121.3 Å³/f.u.
- Total DFT energy (no corrections): -10.28 eV per atom
- Symmetry: P-1
- Energy relative to the elements: 0.05 eV/atom

abc: 2.8432 7.0109 7.1166
angles: 118.24 97.78 96.39
Fractional coordinates of all 7 atoms:
Ta  0.1327  0.0779  0.3554
Ta  0.2594  0.6351  0.2202
Ta  0.7406  0.3649  0.7798
Ta  0.8673  0.9221  0.6446
Ti  0.4845  0.7757  0.9179
Ti  0.5155  0.2243  0.0821
V  0.0000  0.5000  0.5000

=====

Compound: TiAuF2
Source: the Alexandria database
Functional: PBE
Structure: relaxed

## Properties
- V: 66.3 Å³/f.u.
- Total DFT energy (no corrections): -5.69 eV per atom
- Symmetry: R-3m
- Formation energy without anion corrections: -1958 meV/atom

abc: 10.0368 10.0368 10.0368
angles: 15.92 15.92 15.92
Fractional coordinates of all 4 atoms:
Ti  0.0000  0.0000  0.0000
Au  0.5000  0.5000  0.5000
F  0.3793  0.3793  0.3793
F  0.6207  0.6207  0.6207